DFT (PBE) results for crystalline MgPd5Pt2 at its relaxed geometry.

Symmetry   I4/mcm, No. 140
E above lowest polymorph   16.6 kJ per mole of atoms
Magnetic moment   0.0000 μB per atom

Cell: 6.872 6.872 7.338 Å, 117.92 117.92 90.00°
Positions (direct):
1 Mg 0.750 0.750 0.500
2 Mg 0.250 0.250 0.500
3 Pd 0.486 0.684 0.670
4 Pd 0.816 0.014 0.330
5 Pd 0.000 0.000 0.000
6 Pd 0.500 0.500 0.000
7 Pd 0.184 0.986 0.670
8 Pd 0.684 0.184 0.670
9 Pd 0.986 0.486 0.670
10 Pd 0.316 0.816 0.330
11 Pd 0.014 0.514 0.330
12 Pd 0.514 0.316 0.330
13 Pt 0.142 0.358 0.000
14 Pt 0.642 0.142 0.000
15 Pt 0.358 0.858 0.000
16 Pt 0.858 0.642 0.000